# 1
The following is a PBE-GGA calculation of crystalline LiNd2ErS5 at its relaxed geometry, from the Alexandria database.

extended XYZ file:
```
18
Lattice="-3.0977 0.5196 -2.4363 3.2358 -7.4348 -2.4571 -7.0435 -5.6284 7.7551" Properties=species:S:1:pos:R:3 pbc="T T T"
Nd -4.4634 -5.4058 4.5221
Nd -1.5315 -6.4103 -2.6627
Nd -1.6735 -3.4666 1.3885
Nd -5.9000 -9.6110 2.2090
S -1.4023 -6.3613 0.4263
S -1.9500 -3.7030 -1.5533
S -4.0342 -9.4362 -0.1260
S -6.8605 -7.2671 3.9301
S -5.8109 -10.8169 5.0812
S -3.6778 -7.8197 3.0084
S -7.0673 -4.1553 4.8567
S -0.3119 -8.7669 -1.4733
S -4.5948 -4.5237 1.6345
S -0.3287 -1.0758 0.1885
Li -8.4106 -5.4735 6.2835
Li -1.7520 -9.6730 0.1646
Er -4.0693 -6.9073 0.4579
Er 0.6484 -2.8519 -1.4327
```

Values from the calculation:
As for the size of the total moment: 0.00 μB per atom. The value obtained for the uncorrected formation energy is -1923.3 meV/atom.

# 2
The following is a PBE-GGA calculation of crystalline Li3NdEr2S6 at its relaxed geometry, from the Alexandria database.

extended XYZ file:
```
12
Lattice="-5.8455 3.0152 -1.8370 -0.1283 -5.9387 3.3691 1.8657 4.0213 4.8674" Properties=species:S:1:pos:R:3 pbc="T T T"
Li -0.1738 -2.3959 4.9119
Li -2.0541 0.5489 3.1997
Li -3.9343 3.4937 1.4875
Er -2.0358 -2.9514 1.6322
Er -3.9380 0.0279 -0.1001
S -4.0354 2.3786 3.8935
S -2.0666 -0.7048 5.6862
S -0.0728 -1.2808 2.5060
S -3.9454 -1.1459 2.3617
S -0.1628 2.2438 4.0377
S -2.0415 1.8026 0.7132
Nd 0.0000 0.0000 0.0000
```

Values from the calculation:
As for the size of the total moment: 0.00 μB per atom. The value obtained for the uncorrected formation energy is -1827.8 meV/atom.

# 3
The following is a PBE-GGA calculation of crystalline Li2NdEr2Sb2 at its relaxed geometry, from the Alexandria database.

extended XYZ file:
```
7
Lattice="-3.3578 1.9979 2.7049 -1.9134 -2.4398 3.6012 4.5122 2.9962 7.5628" Properties=species:S:1:pos:R:3 pbc="T T T"
Nd 0.0000 0.0000 0.0000
Li 1.2866 2.1125 8.3857
Li -2.0456 0.4417 5.4832
Sb -0.3749 2.0132 10.5710
Sb -0.3841 0.5411 3.2979
Er -2.7969 0.7987 8.4613
Er 2.0379 1.7555 5.4075
```

Values from the calculation:
As for the size of the total moment: 0.07 μB per atom. The value obtained for the uncorrected formation energy is -555.1 meV/atom.

# 4
The following is a PBE-GGA calculation of crystalline LiNdErSb at its relaxed geometry, from the Alexandria database.

extended XYZ file:
```
4
Lattice="5.2636 0.0000 0.0000 2.6318 4.5584 0.0000 2.6318 1.5195 4.2977" Properties=species:S:1:pos:R:3 pbc="T T T"
Li 5.2636 3.0389 2.1489
Er 7.8954 4.5584 3.2233
Nd 2.6318 1.5195 1.0744
Sb 0.0000 0.0000 0.0000
```

Values from the calculation:
As for the size of the total moment: 0.00 μB per atom. The value obtained for the uncorrected formation energy is -445.5 meV/atom.

# 5
The following is a PBE-GGA calculation of crystalline Li3NdEr2Se6 at its relaxed geometry, from the Alexandria database.

extended XYZ file:
```
12
Lattice="-3.2883 5.8793 2.2273 2.9844 -4.3952 4.7026 5.6874 2.8050 -2.7697" Properties=species:S:1:pos:R:3 pbc="T T T"
Se 4.1572 2.4729 -0.2704
Se 0.2852 2.8560 0.6485
Se 2.9429 4.9634 2.6612
Se 1.2264 1.8161 4.4306
Se 2.4406 -0.6744 1.4991
Se 5.0983 1.4330 3.5117
Li 2.6918 2.1445 2.0801
Li 4.7744 -1.2668 2.9020
Li 0.6091 5.5558 1.2583
Er 0.8931 -0.9697 3.8773
Er -1.1970 2.4538 3.0526
Nd 0.0000 0.0000 0.0000
```

Values from the calculation:
As for the size of the total moment: 0.00 μB per atom. The value obtained for the uncorrected formation energy is -1681.9 meV/atom.

# 6
The following is a PBE-GGA calculation of crystalline Li2NdErSe4 at its relaxed geometry, from the Alexandria database.

extended XYZ file:
```
8
Lattice="4.1235 0.0000 0.0000 0.0000 7.1438 0.1222 0.0000 -2.4873 6.4706" Properties=species:S:1:pos:R:3 pbc="T T T"
Se 2.0617 3.4272 4.8932
Se 2.0617 1.2294 1.6995
Se 0.0000 4.6707 1.7290
Se 0.0000 -0.0142 4.8638
Er 2.0617 3.5719 0.0611
Li 2.0617 -1.2437 3.2353
Li 0.0000 2.3283 3.2964
Nd 0.0000 0.0000 0.0000
```

Values from the calculation:
As for the size of the total moment: 0.00 μB per atom. The value obtained for the uncorrected formation energy is -1673.2 meV/atom.

# 7
The following is a PBE-GGA calculation of crystalline LiNdEr2Se4 at its relaxed geometry, from the Alexandria database.

extended XYZ file:
```
8
Lattice="-2.9877 2.4497 -1.2457 0.8454 -2.3400 -6.6292 -4.7449 -4.0957 3.3258" Properties=species:S:1:pos:R:3 pbc="T T T"
Er -3.8663 -0.8230 1.0400
Er -1.9497 -3.2178 -1.6517
Se -4.3920 -3.5379 -3.0379
Se -2.4952 -0.4481 -1.5112
Se -3.3239 -3.6573 0.7798
Se -0.5756 -2.7784 -4.0832
Nd 0.0000 0.0000 0.0000
Li -1.0712 0.0549 -3.9375
```

Values from the calculation:
As for the size of the total moment: 0.00 μB per atom. The value obtained for the uncorrected formation energy is -1731.9 meV/atom.

# 8
The following is a PBE-GGA calculation of crystalline LiNd2ErSe5 at its relaxed geometry, from the Alexandria database.

extended XYZ file:
```
18
Lattice="4.1342 0.0000 0.0000 -2.0671 8.6344 0.0000 0.0000 0.0000 12.4426" Properties=species:S:1:pos:R:3 pbc="T T T"
Se 2.0671 2.3911 6.1927
Se 0.0000 6.2433 12.4140
Se 0.0000 8.6308 3.5331
Se 2.0671 3.3239 10.5131
Se 2.0671 0.0036 9.7544
Se 2.0671 3.7149 1.9909
Se 0.0000 5.3105 4.2918
Se 2.0671 7.8082 7.1049
Se 0.0000 4.9195 8.2122
Se 0.0000 0.8262 0.8836
Nd 2.0671 6.7805 2.3086
Nd 0.0000 2.1719 3.6928
Nd 2.0671 6.4625 9.9141
Nd 0.0000 1.8539 8.5299
Er 2.0671 5.2324 6.2571
Er 0.0000 3.4020 0.0358
Li 0.0000 8.3898 5.9869
Li 2.0671 0.2446 12.2082
```

Values from the calculation:
As for the size of the total moment: 0.00 μB per atom. The value obtained for the uncorrected formation energy is -1752.7 meV/atom.

# 9
The following is a PBE-GGA calculation of crystalline Li4NdEr3Se8 at its relaxed geometry, from the Alexandria database.

extended XYZ file:
```
16
Lattice="-6.1278 -5.0909 -1.7765 2.9600 -0.9792 -7.4040 4.6718 -1.3659 6.5506" Properties=species:S:1:pos:R:3 pbc="T T T"
Se 1.5436 -2.1995 0.9789
Se 2.3490 -5.8825 -0.3633
Se 5.3288 -3.4069 0.5006
Se -1.5528 -4.6935 0.0549
Se -3.8247 -4.0291 -3.1306
Se -0.0395 -5.2365 -3.6089
Se -0.8449 -1.5535 -2.2667
Se 3.0568 -2.7425 -2.6849
Er 0.7520 -3.7180 -1.3150
Er -1.5839 -3.0351 -4.5903
Er 3.8159 -1.1725 -0.4267
Li 2.3359 -0.6829 3.2753
Li -3.0639 -2.5455 -0.8883
Li -0.7280 -3.2284 2.3870
Li 0.0000 0.0000 0.0000
Nd 1.4800 -0.4896 -3.7020
```

Values from the calculation:
As for the size of the total moment: 0.00 μB per atom. The value obtained for the uncorrected formation energy is -1683.5 meV/atom.

# 10
The following is a PBE-GGA calculation of crystalline Li3Nd2ErSe6 at its relaxed geometry, from the Alexandria database.

extended XYZ file:
```
12
Lattice="-4.9453 4.1224 -3.2106 -1.9084 -6.2835 2.9385 1.1038 3.7240 5.7570" Properties=species:S:1:pos:R:3 pbc="T T T"
Se -0.8126 2.2583 4.2229
Se -3.8502 -0.5418 5.0634
Se -0.9189 -1.2559 2.4073
Se -4.8310 2.8188 3.0776
Se -4.9373 -0.6953 1.2619
Se -1.8997 2.1048 0.4214
Nd -2.9196 -2.8187 0.8911
Nd -3.9342 0.6577 -1.1632
Li -3.9008 4.2966 0.6653
Li -2.8750 0.7815 2.7424
Li -1.8491 -2.7336 4.8196
Er 0.0000 0.0000 0.0000
```

Values from the calculation:
As for the size of the total moment: 0.00 μB per atom. The value obtained for the uncorrected formation energy is -1670.2 meV/atom.

# 11
The following is a PBE-GGA calculation of crystalline LiNdErSi at its relaxed geometry, from the Alexandria database.

extended XYZ file:
```
4
Lattice="5.0362 0.0000 0.0000 2.5181 4.3615 0.0000 2.5181 1.4538 4.1120" Properties=species:S:1:pos:R:3 pbc="T T T"
Nd 7.5543 4.3615 3.0840
Li 0.0000 0.0000 0.0000
Si 5.0362 2.9076 2.0560
Er 2.5181 1.4538 1.0280
```

Values from the calculation:
As for the size of the total moment: 0.00 μB per atom. The value obtained for the uncorrected formation energy is -342.0 meV/atom.

# 12
The following is a PBE-GGA calculation of crystalline Li2NdErSi2 at its relaxed geometry, from the Alexandria database.

extended XYZ file:
```
6
Lattice="4.4104 0.0000 0.0000 -2.2052 3.8195 0.0000 0.0000 0.0000 7.2669" Properties=species:S:1:pos:R:3 pbc="T T T"
Nd 0.0000 0.0000 0.0000
Si 2.2052 1.2732 5.3383
Si 0.0000 2.5463 1.9286
Li 2.2052 1.2732 2.0726
Li 0.0000 2.5463 5.1944
Er 0.0000 0.0000 3.6335
```

Values from the calculation:
As for the size of the total moment: 0.00 μB per atom. The value obtained for the uncorrected formation energy is -554.4 meV/atom.